# PBE Re2BiSbRu, relaxed
# Formation energy (no corrections), eV per atom: 1.996
data_Re2BiSbRu
_chemical_formula_sum 'Re2 Bi1 Sb1 Ru1'
_cell_length_a 4.924
_cell_length_b 4.924
_cell_length_c 4.826
_cell_angle_alpha 90.00
_cell_angle_beta 90.00
_cell_angle_gamma 90.00
_symmetry_space_group_name_H-M 'P 4/m m m'
_symmetry_Int_Tables_number 123
_symmetry_space_group_name_Hall '-P 4 2'
loop_
_atom_site_label
_atom_site_fract_x
_atom_site_fract_y
_atom_site_fract_z
_atom_site_occupancy
Re1 0.000 0.500 0.000 1
Bi1 0.000 0.000 0.500 1
Sb1 0.500 0.500 0.000 1
Ru1 0.500 0.500 0.500 1


# PBE Pm2ZnAg6, relaxed
# Formation energy from the elements, meV per atom: -181
data_Pm2ZnAg6
_chemical_formula_sum 'Pm2 Zn1 Ag6'
_cell_length_a 6.1653
_cell_length_b 6.1653
_cell_length_c 5.8438
_cell_angle_alpha 90.00
_cell_angle_beta 90.00
_cell_angle_gamma 120.00
_symmetry_space_group_name_H-M 'P -3 m 1'
_symmetry_Int_Tables_number 164
_symmetry_space_group_name_Hall '-P 3 2"'
loop_
_atom_site_label
_atom_site_fract_x
_atom_site_fract_y
_atom_site_fract_z
_atom_site_occupancy
Pm1 0.3333 0.6667 0.1576 1
Zn1 0.0000 0.0000 0.0000 1
Ag1 0.1781 0.3562 0.6801 1


# PBE Tb4Pm3TmS8, relaxed
# Formation energy (no corrections), eV per atom: -2.001
data_Tb4Pm3TmS8
_chemical_formula_sum 'Tb12 Pm9 Tm3 S24'
_cell_length_a 7.9172
_cell_length_b 7.9172
_cell_length_c 19.3960
_cell_angle_alpha 90.00
_cell_angle_beta 90.00
_cell_angle_gamma 120.00
_symmetry_space_group_name_H-M 'R -3 m'
_symmetry_Int_Tables_number 166
_symmetry_space_group_name_Hall '-R 3 2"'
loop_
_atom_site_label
_atom_site_fract_x
_atom_site_fract_y
_atom_site_fract_z
_atom_site_occupancy
Tb1 0.0000 0.0000 0.0000 1
Tb2 0.0000 0.5000 0.0000 1
Pm1 0.0000 0.5000 0.5000 1
Tm1 0.0000 0.0000 0.5000 1
S1 0.0000 0.0000 0.2535 1
S2 0.0088 0.5044 0.2512 1


PmSm3H8 after structural relaxation, computed with PBE.

```
data_PmSm3H8
_chemical_formula_sum 'Pm1 Sm3 H8'
_cell_length_a 5.377
_cell_length_b 5.377
_cell_length_c 5.377
_cell_angle_alpha 90.00
_cell_angle_beta 90.00
_cell_angle_gamma 90.00
_symmetry_space_group_name_H-M 'P m -3 m'
_symmetry_Int_Tables_number 221
_symmetry_space_group_name_Hall '-P 4 2 3'
loop_
_atom_site_label
_atom_site_fract_x
_atom_site_fract_y
_atom_site_fract_z
_atom_site_occupancy
Pm1 0.000 0.000 0.000 1
Sm1 0.000 0.500 0.500 1
H1 0.251 0.251 0.251 1
```


# PBE CePm5PrSm2, relaxed
# Formation energy from the elements, meV per atom: 278
data_CePm5PrSm2
_chemical_formula_sum 'Ce2 Pm10 Pr2 Sm4'
_cell_length_a 8.190
_cell_length_b 8.190
_cell_length_c 9.296
_cell_angle_alpha 90.00
_cell_angle_beta 90.00
_cell_angle_gamma 90.00
_symmetry_space_group_name_H-M 'P 4/m b m'
_symmetry_Int_Tables_number 127
_symmetry_space_group_name_Hall '-P 4 2ab'
loop_
_atom_site_label
_atom_site_fract_x
_atom_site_fract_y
_atom_site_fract_z
_atom_site_occupancy
Ce1 0.000 0.500 0.000 1
Pm1 0.000 0.000 0.500 1
Pm2 0.199 0.301 0.231 1
Pr1 0.000 0.000 0.000 1
Sm1 0.129 0.629 0.500 1


# PBE La5NdAl2, relaxed
# Energy relative to the lowest polymorph listed for this composition, meV per atom: 64
# Formation energy from the elements, meV per atom: -46
data_La5NdAl2
_chemical_formula_sum 'La10 Nd2 Al4'
_cell_length_a 5.5029
_cell_length_b 5.5029
_cell_length_c 20.6377
_cell_angle_alpha 90.00
_cell_angle_beta 90.00
_cell_angle_gamma 120.00
_symmetry_space_group_name_H-M 'P 63/m m c'
_symmetry_Int_Tables_number 194
_symmetry_space_group_name_Hall '-P 6c 2c'
loop_
_atom_site_label
_atom_site_fract_x
_atom_site_fract_y
_atom_site_fract_z
_atom_site_occupancy
La1 0.0000 0.0000 0.1517 1
La2 0.3333 0.6667 0.0542 1
La3 0.3333 0.6667 0.2500 1
Nd1 0.3333 0.6667 0.7500 1
Al1 0.3333 0.6667 0.6005 1


Number 1: uncorrected energy -32.2 eV per formula unit, spin magnetization 1.9 μB per cell, density of states at the Fermi level 5.3 states/eV/f.u.. Number 2: uncorrected energy -29.5 eV per formula unit, spin magnetization 0.0 μB per cell, density of states at the Fermi level 5.0 states/eV/f.u.. Number 3: uncorrected energy -102.3 eV per formula unit, spin magnetization 0.0 μB per cell, density of states at the Fermi level 8.6 states/eV/f.u.. Number 4: uncorrected energy -53.9 eV per formula unit, spin magnetization 0.0 μB per cell, density of states at the Fermi level 2.5 states/eV/f.u.. Number 5: uncorrected energy -41.4 eV per formula unit, spin magnetization 2.7 μB per cell, density of states at the Fermi level 16.1 states/eV/f.u.. Number 6: uncorrected energy -37.3 eV per formula unit, spin magnetization 0.0 μB per cell, density of states at the Fermi level 14.4 states/eV/f.u..